Record 1
This record from Alexandria via LeMat-Bulk describes crystalline NiPdPt at its relaxed geometry. The functional is PBE.

Unit cell a=4.0796 b=4.0796 c=4.0811 alpha=90.36 beta=119.79 gamma=119.78
Last column: magnetic moment on the atom in μB.
Element x y z (fractional)
1 Pd 0.9443 0.4722 0.4165  0.37
2 Ni 0.4444 0.2222 0.6667  0.97
3 Pt 0.9445 0.9722 0.9168  0.55

## Properties
* energy of formation: 0.253 eV/atom
* ΔE to the lowest computed polymorph: 278 meV/atom
* SG: I-4m2 (119)

Record 2
This record from Alexandria via LeMat-Bulk describes crystalline NaHgGe2S6 at its relaxed geometry. The functional is PBE.

Unit cell a=6.5798 b=8.6631 c=8.6631 alpha=84.49 beta=76.80 gamma=76.80
Element x y z (fractional)
1 Na 0.7500 0.6809 0.3191
2 Na 0.2500 0.3191 0.6809
3 Ge 0.7463 0.6368 0.8050
4 Ge 0.2537 0.3632 0.1950
5 Ge 0.2463 0.8050 0.6368
6 Ge 0.7537 0.1950 0.3632
7 Hg 0.2500 0.7918 0.2082
8 Hg 0.7500 0.2082 0.7918
9 S 0.0107 0.6711 0.5872
10 S 0.8632 0.4003 0.9235
11 S 0.1470 0.9673 0.8322
12 S 0.3632 0.9235 0.4003
13 S 0.3530 0.1678 0.0327
14 S 0.1368 0.5997 0.0765
15 S 0.5107 0.5872 0.6711
16 S 0.6368 0.0765 0.5997
17 S 0.6470 0.8322 0.9673
18 S 0.4893 0.4128 0.3289
19 S 0.8530 0.0327 0.1678
20 S 0.9893 0.3289 0.4128

## Properties
* uncorrected formation energy: -2.916 eV/f.u.
* SG: C2/c (15)

Record 3
This record from Alexandria via LeMat-Bulk describes crystalline HgBi2Te at its relaxed geometry. The functional is PBE.

Unit cell a=4.2602 b=4.2602 c=8.4066 alpha=75.32 beta=75.32 gamma=60.00
Element x y z (fractional)
1 Te 0.0000 0.0000 0.0000
2 Bi 0.2460 0.2460 0.2619
3 Bi 0.7540 0.7540 0.7381
4 Hg 0.5000 0.5000 0.5000

## Properties
* uncorrected formation energy: 0.188 eV/f.u.
* ΔE to the lowest computed polymorph: 0 meV/atom
* SG: R-3m (166)

Number 1: total DFT energy (no corrections) -16.257 eV/f.u.. Number 2: total DFT energy (no corrections) -38.536 eV/f.u.. Number 3: total DFT energy (no corrections) -11.018 eV/f.u..